A plane-wave DFT calculation with GGA-PBE was carried out for an optimized crystal structure of Pr2DyAs3.

As for the symmetry: I4/mmm (139). Its volume is 27.12 Å³ per atom. As for the density of states at the Fermi level: 0.1558 states/eV per atom. The formation enthalpy at 0 K comes out at -8.97 eV/f.u.

CIF file:
```
data_Pr2DyAs3
_chemical_formula_sum 'Pr4 Dy2 As6'
_cell_length_a 4.2504
_cell_length_b 4.2504
_cell_length_c 18.0161
_cell_angle_alpha 90.00
_cell_angle_beta 90.00
_cell_angle_gamma 90.00
_symmetry_space_group_name_H-M 'P 1'
_symmetry_Int_Tables_number 1
loop_
_symmetry_equiv_pos_as_xyz
'x,y,z'
loop_
_atom_site_label
_atom_site_type_symbol
_atom_site_fract_x
_atom_site_fract_y
_atom_site_fract_z
Pr1 Pr 0.0000 0.0000 0.1660
Pr2 Pr 0.0000 0.0000 0.8340
Pr3 Pr 0.5000 0.5000 0.3340
Pr4 Pr 0.5000 0.5000 0.6660
Dy1 Dy 0.0000 0.0000 0.5000
Dy2 Dy 0.5000 0.5000 0.0000
As1 As 0.0000 0.0000 0.0000
As2 As 0.0000 0.0000 0.3365
As3 As 0.0000 0.0000 0.6635
As4 As 0.5000 0.5000 0.1635
As5 As 0.5000 0.5000 0.5000
As6 As 0.5000 0.5000 0.8365
```

A plane-wave DFT calculation with GGA-PBE was carried out for an optimized crystal structure of Cs2Hg3Te4.

As for the symmetry: C2/c (15). Its volume is 44.82 Å³ per atom. The value obtained for the formation energy without anion corrections is -419 meV/atom.

CIF file:
```
data_Cs2Hg3Te4
_chemical_formula_sum 'Cs4 Hg6 Te8'
_cell_length_a 10.3144
_cell_length_b 10.3144
_cell_length_c 7.6170
_cell_angle_alpha 93.43
_cell_angle_beta 93.43
_cell_angle_gamma 92.19
_symmetry_space_group_name_H-M 'P 1'
_symmetry_Int_Tables_number 1
loop_
_symmetry_equiv_pos_as_xyz
'x,y,z'
loop_
_atom_site_label
_atom_site_type_symbol
_atom_site_fract_x
_atom_site_fract_y
_atom_site_fract_z
Cs1 Cs 0.0389 0.3154 0.2159
Cs2 Cs 0.3154 0.0389 0.7159
Cs3 Cs 0.6846 0.9611 0.2841
Cs4 Cs 0.9611 0.6846 0.7841
Hg1 Hg 0.1388 0.8612 0.2500
Hg2 Hg 0.3216 0.4815 0.6014
Hg3 Hg 0.4815 0.3216 0.1014
Hg4 Hg 0.5185 0.6784 0.8986
Hg5 Hg 0.6784 0.5185 0.3986
Hg6 Hg 0.8612 0.1388 0.7500
Te1 Te 0.1188 0.3523 0.7276
Te2 Te 0.3129 0.5728 0.0831
Te3 Te 0.3523 0.1188 0.2276
Te4 Te 0.4272 0.6871 0.4169
Te5 Te 0.5728 0.3129 0.5831
Te6 Te 0.6477 0.8812 0.7724
Te7 Te 0.6871 0.4272 0.9169
Te8 Te 0.8812 0.6477 0.2724
```

A plane-wave DFT calculation with GGA-PBE was carried out for an optimized crystal structure of TaPbBr2.

As for the symmetry: P4/mmm (123). Its volume is 28.33 Å³ per atom. The value obtained for the formation energy without anion corrections is 99 meV/atom. As for the density of states at the Fermi level: 0.6219 states/eV per atom.

CIF file:
```
data_TaPbBr2
_chemical_formula_sum 'Ta1 Pb1 Br2'
_cell_length_a 3.1977
_cell_length_b 3.1977
_cell_length_c 11.0825
_cell_angle_alpha 90.00
_cell_angle_beta 90.00
_cell_angle_gamma 90.00
_symmetry_space_group_name_H-M 'P 1'
_symmetry_Int_Tables_number 1
loop_
_symmetry_equiv_pos_as_xyz
'x,y,z'
loop_
_atom_site_label
_atom_site_type_symbol
_atom_site_fract_x
_atom_site_fract_y
_atom_site_fract_z
Ta1 Ta 0.0000 0.0000 0.0000
Pb1 Pb 0.0000 0.0000 0.5000
Br1 Br 0.5000 0.5000 0.1475
Br2 Br 0.5000 0.5000 0.8525
```

A plane-wave DFT calculation with GGA-PBE was carried out for an optimized crystal structure of BaScRe3.

As for the symmetry: Pm-3m (221). Its volume is 23.91 Å³ per atom. As for the density of states at the Fermi level: 1.2750 states/eV per atom. The formation enthalpy at 0 K comes out at 10.55 eV/f.u.

CIF file:
```
data_BaScRe3
_chemical_formula_sum 'Ba1 Sc1 Re3'
_cell_length_a 4.9260
_cell_length_b 4.9260
_cell_length_c 4.9260
_cell_angle_alpha 90.00
_cell_angle_beta 90.00
_cell_angle_gamma 90.00
_symmetry_space_group_name_H-M 'P 1'
_symmetry_Int_Tables_number 1
loop_
_symmetry_equiv_pos_as_xyz
'x,y,z'
loop_
_atom_site_label
_atom_site_type_symbol
_atom_site_fract_x
_atom_site_fract_y
_atom_site_fract_z
Ba1 Ba 0.0000 0.0000 0.0000
Sc1 Sc 0.5000 0.5000 0.5000
Re1 Re 0.0000 0.5000 0.5000
Re2 Re 0.5000 0.0000 0.5000
Re3 Re 0.5000 0.5000 0.0000
```

What is the formula in the third record? TaPbBr2

Which value of volume does entry 4 give? 23.91 Å³ per atom

What is the volume in the second record? 44.82 Å³ per atom